No. 1
# Ce2Ga3SiIr4 | Alexandria via LeMat-Bulk | PBE | optimized geometry
# * space-group type: P-4m2
# * magnetization: 0.9 μB/cell
# * total energy: -6.9310 eV per atom
# * raw formation energy: -0.75 eV/atom
data_Ce2Ga3SiIr4
_chemical_formula_sum 'Ce2 Ga3 Si1 Ir4'
_symmetry_space_group_name_H-M 'P 1'
_symmetry_Int_Tables_number 1
_cell_length_a 4.2832
_cell_length_b 4.2832
_cell_length_c 10.0006
_cell_angle_alpha 90.00
_cell_angle_beta 90.00
_cell_angle_gamma 90.00
loop_
_symmetry_equiv_pos_as_xyz
'x,y,z'
loop_
_atom_site_label
_atom_site_fract_x
_atom_site_fract_y
_atom_site_fract_z
Ce1 0.0000 0.5000 0.2457
Ce2 0.5000 0.0000 0.7543
Ga1 0.0000 0.5000 0.8695
Ga2 0.5000 0.0000 0.1305
Ga3 0.5000 0.5000 0.5000
Si1 0.0000 0.0000 0.5000
Ir1 0.0000 0.0000 0.0000
Ir2 0.0000 0.5000 0.6231
Ir3 0.5000 0.0000 0.3769
Ir4 0.5000 0.5000 0.0000

=====

No. 2
# Ag2Sb | Alexandria via LeMat-Bulk | PBE | optimized geometry
# * space-group type: C2/m
# * magnetization: 0.0 μB/cell
# * total energy: -3.1472 eV per atom
# * raw formation energy: 0.13 eV/atom
data_Ag2Sb
_chemical_formula_sum 'Ag4 Sb2'
_symmetry_space_group_name_H-M 'P 1'
_symmetry_Int_Tables_number 1
_cell_length_a 6.2559
_cell_length_b 6.2559
_cell_length_c 7.0757
_cell_angle_alpha 107.75
_cell_angle_beta 107.75
_cell_angle_gamma 29.05
loop_
_symmetry_equiv_pos_as_xyz
'x,y,z'
loop_
_atom_site_label
_atom_site_fract_x
_atom_site_fract_y
_atom_site_fract_z
Ag1 0.0194 0.0194 0.3159
Ag2 0.3110 0.3110 0.3815
Ag3 0.6890 0.6890 0.6185
Ag4 0.9806 0.9806 0.6841
Sb1 0.3652 0.3652 0.9593
Sb2 0.6348 0.6348 0.0407

=====

No. 3
# AcPmAl4 | Alexandria via LeMat-Bulk | PBE | optimized geometry
# * space-group type: I-4m2
# * magnetization: 0.0 μB/cell
# * total energy: -4.3700 eV per atom
# * ΔE_f: -231 kJ/mol of formula units
data_AcPmAl4
_chemical_formula_sum 'Ac1 Pm1 Al4'
_symmetry_space_group_name_H-M 'P 1'
_symmetry_Int_Tables_number 1
_cell_length_a 8.4105
_cell_length_b 8.4105
_cell_length_c 8.4105
_cell_angle_alpha 149.28
_cell_angle_beta 149.28
_cell_angle_gamma 44.00
loop_
_symmetry_equiv_pos_as_xyz
'x,y,z'
loop_
_atom_site_label
_atom_site_fract_x
_atom_site_fract_y
_atom_site_fract_z
Ac1 0.0000 0.0000 0.0000
Pm1 0.2500 0.7500 0.5000
Al1 0.4144 0.4144 0.0000
Al2 0.5856 0.5856 0.0000
Al3 0.6689 0.1689 0.5000
Al4 0.8311 0.3311 0.5000

=====

No. 4
# Ac2DySn3Pt4 | Alexandria via LeMat-Bulk | PBE | optimized geometry
# * space-group type: P-4m2
# * magnetization: 0.0 μB/cell
# * total energy: -5.8676 eV per atom
# * ΔE_f: -934 kJ/mol of formula units
data_Ac2DySn3Pt4
_chemical_formula_sum 'Ac2 Dy1 Sn3 Pt4'
_symmetry_space_group_name_H-M 'P 1'
_symmetry_Int_Tables_number 1
_cell_length_a 4.7156
_cell_length_b 4.7156
_cell_length_c 11.0788
_cell_angle_alpha 90.00
_cell_angle_beta 90.00
_cell_angle_gamma 90.00
loop_
_symmetry_equiv_pos_as_xyz
'x,y,z'
loop_
_atom_site_label
_atom_site_fract_x
_atom_site_fract_y
_atom_site_fract_z
Ac1 0.0000 0.5000 0.2285
Ac2 0.5000 0.0000 0.7715
Dy1 0.0000 0.0000 0.5000
Sn1 0.0000 0.5000 0.8790
Sn2 0.5000 0.0000 0.1210
Sn3 0.5000 0.5000 0.5000
Pt1 0.0000 0.0000 0.0000
Pt2 0.0000 0.5000 0.6402
Pt3 0.5000 0.0000 0.3598
Pt4 0.5000 0.5000 0.0000

=====

No. 5
# Zr3TiH4 | Alexandria via LeMat-Bulk | PBE | optimized geometry
# * space-group type: Pmn2_1
# * magnetization: 0.0 μB/cell
# * total energy: -6.2026 eV per atom
data_Zr3TiH4
_chemical_formula_sum 'Zr6 Ti2 H8'
_symmetry_space_group_name_H-M 'P 1'
_symmetry_Int_Tables_number 1
_cell_length_a 7.2493
_cell_length_b 5.1650
_cell_length_c 5.1495
_cell_angle_alpha 90.00
_cell_angle_beta 90.00
_cell_angle_gamma 90.00
loop_
_symmetry_equiv_pos_as_xyz
'x,y,z'
loop_
_atom_site_label
_atom_site_fract_x
_atom_site_fract_y
_atom_site_fract_z
Zr1 0.0000 0.2416 0.0000
Zr2 0.2477 0.7384 0.0048
Zr3 0.2523 0.2616 0.5048
Zr4 0.5000 0.7584 0.5000
Zr5 0.7477 0.2616 0.5048
Zr6 0.7523 0.7384 0.0048
Ti1 0.0000 0.7554 0.5101
Ti2 0.5000 0.2446 0.0101
H1 0.0000 0.1078 0.6224
H2 0.0000 0.8735 0.1594
H3 0.2391 0.6456 0.6161
H4 0.2609 0.3544 0.1161
H5 0.5000 0.1265 0.6594
H6 0.5000 0.8922 0.1224
H7 0.7391 0.3544 0.1161
H8 0.7609 0.6456 0.6161

=====

No. 6
# Pr3Dy2Er2 | Alexandria via LeMat-Bulk | PBE | optimized geometry
# * space-group type: C2/m
# * magnetization: 0.0 μB/cell
# * total energy: -4.5518 eV per atom
# * ΔE_f: 78 kJ/mol of formula units
data_Pr3Dy2Er2
_chemical_formula_sum 'Pr3 Dy2 Er2'
_symmetry_space_group_name_H-M 'P 1'
_symmetry_Int_Tables_number 1
_cell_length_a 9.0028
_cell_length_b 9.0028
_cell_length_c 8.5797
_cell_angle_alpha 117.93
_cell_angle_beta 117.93
_cell_angle_gamma 22.60
loop_
_symmetry_equiv_pos_as_xyz
'x,y,z'
loop_
_atom_site_label
_atom_site_fract_x
_atom_site_fract_y
_atom_site_fract_z
Pr1 0.0000 0.0000 0.0000
Pr2 0.2141 0.2141 0.2969
Pr3 0.7859 0.7859 0.7031
Dy1 0.4357 0.4357 0.5897
Dy2 0.5643 0.5643 0.4103
Er1 0.1425 0.1425 0.8218
Er2 0.8575 0.8575 0.1782

=====

No. 7
# Ce6PuAg3 | Alexandria via LeMat-Bulk | PBE | optimized geometry
# * space-group type: R-3m
# * magnetization: 0.1 μB/cell
# * total energy: -5.9128 eV per atom
# * ΔE_f: -62 kJ/mol of formula units
data_Ce6PuAg3
_chemical_formula_sum 'Ce12 Pu2 Ag6'
_symmetry_space_group_name_H-M 'P 1'
_symmetry_Int_Tables_number 1
_cell_length_a 8.1343
_cell_length_b 8.1343
_cell_length_c 8.1343
_cell_angle_alpha 78.17
_cell_angle_beta 78.17
_cell_angle_gamma 78.17
loop_
_symmetry_equiv_pos_as_xyz
'x,y,z'
loop_
_atom_site_label
_atom_site_fract_x
_atom_site_fract_y
_atom_site_fract_z
Ce1 0.0221 0.0221 0.6880
Ce2 0.0221 0.6880 0.0221
Ce3 0.3032 0.3032 0.6394
Ce4 0.3032 0.6394 0.3032
Ce5 0.3120 0.9779 0.9779
Ce6 0.3606 0.6968 0.6968
Ce7 0.6394 0.3032 0.3032
Ce8 0.6880 0.0221 0.0221
Ce9 0.6968 0.3606 0.6968
Ce10 0.6968 0.6968 0.3606
Ce11 0.9779 0.3120 0.9779
Ce12 0.9779 0.9779 0.3120
Pu1 0.0000 0.0000 0.0000
Pu2 0.5000 0.5000 0.5000
Ag1 0.0276 0.3622 0.3622
Ag2 0.3622 0.0276 0.3622
Ag3 0.3622 0.3622 0.0276
Ag4 0.6378 0.6378 0.9724
Ag5 0.6378 0.9724 0.6378
Ag6 0.9724 0.6378 0.6378

=====

No. 8
# MgTl2Cd | Alexandria via LeMat-Bulk | PBE | optimized geometry
# * space-group type: C2/m
# * magnetization: 0.0 μB/cell
# * total energy: -1.7763 eV per atom
# * ΔE_f: 13 kJ/mol of formula units
data_MgTl2Cd
_chemical_formula_sum 'Mg1 Tl2 Cd1'
_symmetry_space_group_name_H-M 'P 1'
_symmetry_Int_Tables_number 1
_cell_length_a 6.1168
_cell_length_b 6.1168
_cell_length_c 3.4740
_cell_angle_alpha 102.18
_cell_angle_beta 102.18
_cell_angle_gamma 115.73
loop_
_symmetry_equiv_pos_as_xyz
'x,y,z'
loop_
_atom_site_label
_atom_site_fract_x
_atom_site_fract_y
_atom_site_fract_z
Mg1 0.0000 0.0000 0.0000
Tl1 0.0000 0.5000 0.5000
Tl2 0.5000 0.0000 0.5000
Cd1 0.5000 0.5000 0.0000

=====

No. 9
# TbHgPd4 | Alexandria via LeMat-Bulk | PBE | optimized geometry
# * space-group type: Pmmn
# * magnetization: 0.0 μB/cell
# * total energy: -4.6970 eV per atom
# * ΔE_f: -239 kJ/mol of formula units
data_TbHgPd4
_chemical_formula_sum 'Tb2 Hg2 Pd8'
_symmetry_space_group_name_H-M 'P 1'
_symmetry_Int_Tables_number 1
_cell_length_a 5.6962
_cell_length_b 5.9932
_cell_length_c 6.6857
_cell_angle_alpha 90.00
_cell_angle_beta 90.00
_cell_angle_gamma 90.00
loop_
_symmetry_equiv_pos_as_xyz
'x,y,z'
loop_
_atom_site_label
_atom_site_fract_x
_atom_site_fract_y
_atom_site_fract_z
Tb1 0.2500 0.2500 0.1703
Tb2 0.7500 0.7500 0.8297
Hg1 0.2500 0.7500 0.1981
Hg2 0.7500 0.2500 0.8019
Pd1 0.0000 0.0000 0.5000
Pd2 0.0000 0.5000 0.5000
Pd3 0.2500 0.2500 0.7745
Pd4 0.2500 0.7500 0.7895
Pd5 0.5000 0.0000 0.5000
Pd6 0.5000 0.5000 0.5000
Pd7 0.7500 0.2500 0.2105
Pd8 0.7500 0.7500 0.2255

=====

No. 10
# AlCrAuSe2 | Alexandria via LeMat-Bulk | PBE | optimized geometry
# * space-group type: P4/mmm
# * magnetization: 0.0 μB/cell
# * total energy: -4.3671 eV per atom
# * raw formation energy: 0.36 eV/atom
data_AlCrAuSe2
_chemical_formula_sum 'Al1 Cr1 Au1 Se2'
_symmetry_space_group_name_H-M 'P 1'
_symmetry_Int_Tables_number 1
_cell_length_a 4.5532
_cell_length_b 4.5532
_cell_length_c 5.0725
_cell_angle_alpha 90.00
_cell_angle_beta 90.00
_cell_angle_gamma 90.00
loop_
_symmetry_equiv_pos_as_xyz
'x,y,z'
loop_
_atom_site_label
_atom_site_fract_x
_atom_site_fract_y
_atom_site_fract_z
Al1 0.0000 0.0000 0.0000
Cr1 0.0000 0.0000 0.5000
Au1 0.5000 0.5000 0.0000
Se1 0.0000 0.5000 0.5000
Se2 0.5000 0.0000 0.5000

=====

No. 11
# Ca2TbPm5 | Alexandria via LeMat-Bulk | PBE | optimized geometry
# * space-group type: I4/mmm
# * magnetization: 0.0 μB/cell
# * total energy: -3.9999 eV per atom
# * ΔE_f: 37 kJ/mol of formula units
data_Ca2TbPm5
_chemical_formula_sum 'Ca2 Tb1 Pm5'
_symmetry_space_group_name_H-M 'P 1'
_symmetry_Int_Tables_number 1
_cell_length_a 11.1848
_cell_length_b 11.1848
_cell_length_c 11.1848
_cell_angle_alpha 153.16
_cell_angle_beta 153.16
_cell_angle_gamma 38.32
loop_
_symmetry_equiv_pos_as_xyz
'x,y,z'
loop_
_atom_site_label
_atom_site_fract_x
_atom_site_fract_y
_atom_site_fract_z
Ca1 0.2502 0.2502 0.0000
Ca2 0.7498 0.7498 0.0000
Tb1 0.0000 0.0000 0.0000
Pm1 0.1173 0.6173 0.5000
Pm2 0.3827 0.8827 0.5000
Pm3 0.5000 0.5000 0.0000
Pm4 0.6173 0.1173 0.5000
Pm5 0.8827 0.3827 0.5000

=====

No. 12
# TcTeSe | Alexandria via LeMat-Bulk | PBE | optimized geometry
# * space-group type: F-43m
# * magnetization: 0.0 μB/cell
# * total energy: -5.6391 eV per atom
# * raw formation energy: 0.02 eV/atom
data_TcTeSe
_chemical_formula_sum 'Tc1 Te1 Se1'
_symmetry_space_group_name_H-M 'P 1'
_symmetry_Int_Tables_number 1
_cell_length_a 4.4697
_cell_length_b 4.4697
_cell_length_c 4.4697
_cell_angle_alpha 60.00
_cell_angle_beta 60.00
_cell_angle_gamma 60.00
loop_
_symmetry_equiv_pos_as_xyz
'x,y,z'
loop_
_atom_site_label
_atom_site_fract_x
_atom_site_fract_y
_atom_site_fract_z
Tc1 0.0000 0.0000 0.0000
Te1 0.7500 0.7500 0.7500
Se1 0.2500 0.2500 0.2500

=====

| no. | mass density (g/cm³) |
| --- | --- |
| 1 | 11.64 |
| 2 | 8.78 |
| 3 | 5.15 |
| 4 | 11.82 |
| 5 | 5.61 |
| 6 | 7.65 |
| 7 | 9.21 |
| 8 | 8.43 |
| 9 | 11.43 |
| 10 | 6.85 |
| 11 | 5.62 |
| 12 | 8.01 |